[1]
The following is a DFT calculation (PBE-GGA) of a relaxed HfTi2Os2 crystal.

Calculated values
- SG = No. 65
- E above lowest polymorph (meV per atom) = 0.0

Cell lengths 9.254, 9.254, 3.095 Å; angles 90.00, 90.00, 160.70 degrees
Fractional positions:
Hf (0.000, 0.000, 0.000)
Ti (0.177, 0.823, 0.000)
Ti (0.823, 0.177, 0.000)
Os (0.404, 0.596, 0.500)
Os (0.596, 0.404, 0.500)

---

[2]
The following is a DFT calculation (PBE-GGA) of a relaxed Hf2TiOs2 crystal.

Calculated values
- SG = No. 127
- E above lowest polymorph (meV per atom) = 62.3

Cell lengths 6.552, 6.552, 4.317 Å; angles 90.00, 90.00, 90.00 degrees
Fractional positions:
Hf (0.182, 0.318, 0.000)
Hf (0.318, 0.818, 0.000)
Hf (0.682, 0.182, 0.000)
Hf (0.818, 0.682, 0.000)
Ti (0.000, 0.000, 0.500)
Ti (0.500, 0.500, 0.500)
Os (0.136, 0.636, 0.500)
Os (0.364, 0.136, 0.500)
Os (0.636, 0.864, 0.500)
Os (0.864, 0.364, 0.500)

---

[3]
The following is a DFT calculation (PBE-GGA) of a relaxed Hf2Ti2Os crystal.

Calculated values
- energy (eV/atom) = -9.4754
- SG = No. 127

Cell lengths 6.396, 6.396, 4.657 Å; angles 90.00, 90.00, 90.00 degrees
Fractional positions:
Hf (0.164, 0.336, 0.000)
Hf (0.336, 0.836, 0.000)
Hf (0.664, 0.164, 0.000)
Hf (0.836, 0.664, 0.000)
Ti (0.148, 0.648, 0.500)
Ti (0.352, 0.148, 0.500)
Ti (0.648, 0.852, 0.500)
Ti (0.852, 0.352, 0.500)
Os (0.000, 0.000, 0.500)
Os (0.500, 0.500, 0.500)

---

[4]
The following is a DFT calculation (PBE-GGA) of a relaxed HfTi5Os4 crystal.

Calculated values
- energy (eV/atom) = -9.9943
- SG = No. 123

Cell lengths 3.098, 3.098, 16.314 Å; angles 90.00, 90.00, 90.00 degrees
Fractional positions:
Hf (0.000, 0.000, 0.000)
Ti (0.500, 0.500, 0.122)
Ti (0.500, 0.500, 0.310)
Ti (0.500, 0.500, 0.500)
Ti (0.500, 0.500, 0.690)
Ti (0.500, 0.500, 0.878)
Os (0.000, 0.000, 0.215)
Os (0.000, 0.000, 0.405)
Os (0.000, 0.000, 0.595)
Os (0.000, 0.000, 0.785)

---

[5]
The following is a DFT calculation (PBE-GGA) of a relaxed HfTi3Os4 crystal.

Calculated values
- energy (eV/atom) = -10.5014
- SG = No. 47

Cell lengths 3.133, 4.442, 8.862 Å; angles 90.00, 90.00, 90.00 degrees
Fractional positions:
Hf (0.000, 0.000, 0.000)
Ti (0.000, 0.000, 0.500)
Ti (0.000, 0.500, 0.255)
Ti (0.000, 0.500, 0.745)
Os (0.500, 0.000, 0.258)
Os (0.500, 0.000, 0.742)
Os (0.500, 0.500, 0.000)
Os (0.500, 0.500, 0.500)

---

[6]
The following is a DFT calculation (PBE-GGA) of a relaxed YHf2TiOs crystal.

Calculated values
- energy (eV/atom) = -7.8201
- SG = No. 123

Cell lengths 4.749, 4.749, 5.027 Å; angles 90.00, 90.00, 90.00 degrees
Fractional positions:
Y (0.000, 0.000, 0.000)
Hf (0.000, 0.500, 0.500)
Hf (0.500, 0.000, 0.500)
Ti (0.000, 0.000, 0.500)
Os (0.500, 0.500, 0.000)

---

[7]
The following is a DFT calculation (PBE-GGA) of a relaxed HfZrTiOs crystal.

Calculated values
- energy (eV/atom) = -9.6728
- SG = No. 216

Cell lengths 4.706, 4.706, 4.706 Å; angles 60.00, 60.00, 60.00 degrees
Fractional positions:
Hf (0.000, 0.000, 0.000)
Zr (0.500, 0.500, 0.500)
Ti (0.250, 0.250, 0.250)
Os (0.750, 0.750, 0.750)

---

[8]
The following is a DFT calculation (PBE-GGA) of a relaxed Hf2Tl2Os crystal.

Calculated values
- SG = No. 127
- E above lowest polymorph (meV per atom) = 0.0

Cell lengths 7.195, 7.195, 4.033 Å; angles 90.00, 90.00, 90.00 degrees
Fractional positions:
Hf (0.168, 0.332, 0.000)
Hf (0.332, 0.832, 0.000)
Hf (0.668, 0.168, 0.000)
Hf (0.832, 0.668, 0.000)
Tl (0.139, 0.639, 0.500)
Tl (0.361, 0.139, 0.500)
Tl (0.639, 0.861, 0.500)
Tl (0.861, 0.361, 0.500)
Os (0.000, 0.000, 0.500)
Os (0.500, 0.500, 0.500)

---

[9]
The following is a DFT calculation (PBE-GGA) of a relaxed Hf2TlOs crystal.

Calculated values
- SG = No. 122
- E above lowest polymorph (meV per atom) = 574.4

Cell lengths 6.240, 6.240, 6.240 Å; angles 102.50, 102.50, 124.54 degrees
Fractional positions:
Hf (0.070, 0.625, 0.945)
Hf (0.375, 0.320, 0.445)
Hf (0.680, 0.125, 0.055)
Hf (0.875, 0.930, 0.555)
Tl (0.250, 0.750, 0.500)
Tl (0.500, 0.500, 0.000)
Os (0.000, 0.000, 0.000)
Os (0.750, 0.250, 0.500)

---

[10]
The following is a DFT calculation (PBE-GGA) of a relaxed Hf2TlOs2 crystal.

Calculated values
- energy (eV/atom) = -9.0279
- SG = No. 127

Cell lengths 7.772, 7.772, 3.194 Å; angles 90.00, 90.00, 90.00 degrees
Fractional positions:
Hf (0.151, 0.349, 0.000)
Hf (0.349, 0.849, 0.000)
Hf (0.651, 0.151, 0.000)
Hf (0.849, 0.651, 0.000)
Tl (0.000, 0.000, 0.500)
Tl (0.500, 0.500, 0.500)
Os (0.141, 0.641, 0.500)
Os (0.359, 0.141, 0.500)
Os (0.641, 0.859, 0.500)
Os (0.859, 0.359, 0.500)

---

[11]
The following is a DFT calculation (PBE-GGA) of a relaxed Hf2TlOs crystal.

Calculated values
- SG = No. 123
- E above lowest polymorph (meV per atom) = 0.0

Cell lengths 3.179, 3.179, 8.012 Å; angles 90.00, 90.00, 90.00 degrees
Fractional positions:
Hf (0.000, 0.000, 0.207)
Hf (0.000, 0.000, 0.793)
Tl (0.500, 0.500, 0.500)
Os (0.500, 0.500, 0.000)

---

[12]
The following is a DFT calculation (PBE-GGA) of a relaxed Hf6Tl2Os crystal.

Calculated values
- energy (eV/atom) = -8.5348
- SG = No. 189

Cell lengths 8.137, 8.137, 3.428 Å; angles 90.00, 90.00, 120.00 degrees
Fractional positions:
Hf (0.000, 0.376, 0.000)
Hf (0.000, 0.748, 0.500)
Hf (0.252, 0.252, 0.500)
Hf (0.376, 0.000, 0.000)
Hf (0.624, 0.624, 0.000)
Hf (0.748, 0.000, 0.500)
Tl (0.333, 0.667, 0.500)
Tl (0.667, 0.333, 0.500)
Os (0.000, 0.000, 0.000)